# 1
VASP calculation (PBE) on a relaxed Sr3Ca crystal.

## Properties
M_tot = 0.00 Bohr magnetons per cell
N(E_F) = 1.24 states/eV per atom
formation energy = 1.5 kJ/mol of atoms

The structure in CIF format:
```
data_Sr3Ca
_chemical_formula_sum 'Sr6 Ca2'
_symmetry_space_group_name_H-M 'C m m m'
_symmetry_Int_Tables_number 65
_symmetry_space_group_name_Hall '-C 2 2'
_cell_length_a 8.3708
_cell_length_b 11.6425
_cell_length_c 4.2184
_cell_angle_alpha 90.00
_cell_angle_beta 90.00
_cell_angle_gamma 90.00
loop_
_atom_site_label
_atom_site_type_symbol
_atom_site_fract_x
_atom_site_fract_y
_atom_site_fract_z
Sr1 Sr 0.0000 0.0000 0.0000
Sr2 Sr 0.2500 0.2500 0.5000
Ca1 Ca 0.0000 0.5000 0.0000
```

=====

# 2
VASP calculation (PBE) on a relaxed SrCa crystal.

## Properties
M_tot = 0.00 Bohr magnetons per cell
distance to the lowest polymorph of the same formula = 384.3 meV per atom
N(E_F) = 1.38 states/eV per atom
formation energy = 38.4 kJ/mol of atoms

The structure in CIF format:
```
data_SrCa
_chemical_formula_sum 'Sr4 Ca4'
_symmetry_space_group_name_H-M 'F m -3 m'
_symmetry_Int_Tables_number 225
_symmetry_space_group_name_Hall '-F 4 2 3'
_cell_length_a 7.4008
_cell_length_b 7.4008
_cell_length_c 7.4008
_cell_angle_alpha 90.00
_cell_angle_beta 90.00
_cell_angle_gamma 90.00
loop_
_atom_site_label
_atom_site_type_symbol
_atom_site_fract_x
_atom_site_fract_y
_atom_site_fract_z
Sr1 Sr 0.0000 0.0000 0.0000
Ca1 Ca 0.0000 0.0000 0.5000
```

=====

# 3
VASP calculation (PBE) on a relaxed SrCa crystal.

## Properties
M_tot = 0.00 Bohr magnetons per cell
distance to the lowest polymorph of the same formula = 987.2 meV per atom
N(E_F) = 1.58 states/eV per atom
formation energy = 96.6 kJ/mol of atoms

The structure in CIF format:
```
data_SrCa
_chemical_formula_sum 'Sr4 Ca4'
_symmetry_space_group_name_H-M 'F -4 3 m'
_symmetry_Int_Tables_number 216
_symmetry_space_group_name_Hall 'F -4 2 3'
_cell_length_a 9.0686
_cell_length_b 9.0686
_cell_length_c 9.0686
_cell_angle_alpha 90.00
_cell_angle_beta 90.00
_cell_angle_gamma 90.00
loop_
_atom_site_label
_atom_site_type_symbol
_atom_site_fract_x
_atom_site_fract_y
_atom_site_fract_z
Sr1 Sr 0.0000 0.0000 0.0000
Ca1 Ca 0.2500 0.2500 0.7500
```

=====

# 4
VASP calculation (PBE) on a relaxed Sr7Ca5 crystal.

## Properties
M_tot = 0.00 Bohr magnetons per cell
distance to the lowest polymorph of the same formula = 88.6 meV per atom
N(E_F) = 1.14 states/eV per atom
formation energy = 9.9 kJ/mol of atoms

The structure in CIF format:
```
data_Sr7Ca5
_chemical_formula_sum 'Sr14 Ca10'
_symmetry_space_group_name_H-M 'C 1 2/m 1'
_symmetry_Int_Tables_number 12
_cell_length_a 11.2490
_cell_length_b 6.5083
_cell_length_c 17.1916
_cell_angle_alpha 90.00
_cell_angle_beta 102.79
_cell_angle_gamma 90.00
loop_
_symmetry_equiv_pos_as_xyz
'x,y,z'
'-x,-y,-z'
'-x,y,-z'
'x,-y,z'
'x+1/2,y+1/2,z'
'-x+1/2,-y+1/2,-z'
'-x+1/2,y+1/2,-z'
'x+1/2,-y+1/2,z'
loop_
_atom_site_label
_atom_site_type_symbol
_atom_site_fract_x
_atom_site_fract_y
_atom_site_fract_z
Sr1 Sr 0.0000 0.0000 0.0000
Sr2 Sr 0.0730 0.5000 0.7207
Sr3 Sr 0.1919 0.0000 0.5768
Sr4 Sr 0.2249 0.5000 0.1720
Ca1 Ca 0.0000 0.5000 0.5000
Ca2 Ca 0.1098 0.0000 0.3281
Ca3 Ca 0.1480 0.5000 0.9453
```

=====

# 5
VASP calculation (PBE) on a relaxed Sr3Ca crystal.

## Properties
M_tot = 0.00 Bohr magnetons per cell
N(E_F) = 1.36 states/eV per atom
formation energy = 1.9 kJ/mol of atoms

The structure in CIF format:
```
data_Sr3Ca
_chemical_formula_sum 'Sr12 Ca4'
_symmetry_space_group_name_H-M 'F m -3 m'
_symmetry_Int_Tables_number 225
_symmetry_space_group_name_Hall '-F 4 2 3'
_cell_length_a 9.3101
_cell_length_b 9.3101
_cell_length_c 9.3101
_cell_angle_alpha 90.00
_cell_angle_beta 90.00
_cell_angle_gamma 90.00
loop_
_atom_site_label
_atom_site_type_symbol
_atom_site_fract_x
_atom_site_fract_y
_atom_site_fract_z
Sr1 Sr 0.0000 0.0000 0.0000
Sr2 Sr 0.2500 0.2500 0.2500
Ca1 Ca 0.0000 0.0000 0.5000
```

=====

# 6
VASP calculation (PBE) on a relaxed Sr5Ca3 crystal.

## Properties
M_tot = 0.00 Bohr magnetons per cell
distance to the lowest polymorph of the same formula = 1.5 meV per atom
N(E_F) = 1.30 states/eV per atom
formation energy = 1.3 kJ/mol of atoms

The structure in CIF format:
```
data_Sr5Ca3
_chemical_formula_sum 'Sr5 Ca3'
_symmetry_space_group_name_H-M 'P 4/m m m'
_symmetry_Int_Tables_number 123
_symmetry_space_group_name_Hall '-P 4 2'
_cell_length_a 4.1695
_cell_length_b 4.1695
_cell_length_c 22.8696
_cell_angle_alpha 90.00
_cell_angle_beta 90.00
_cell_angle_gamma 90.00
loop_
_atom_site_label
_atom_site_type_symbol
_atom_site_fract_x
_atom_site_fract_y
_atom_site_fract_z
Sr1 Sr 0.0000 0.0000 0.0000
Sr2 Sr 0.0000 0.0000 0.2438
Sr3 Sr 0.5000 0.5000 0.3782
Ca1 Ca 0.0000 0.0000 0.5000
Ca2 Ca 0.5000 0.5000 0.1215
```

=====

# 7
VASP calculation (PBE) on a relaxed Sr4Ca crystal.

## Properties
M_tot = 0.00 Bohr magnetons per cell
distance to the lowest polymorph of the same formula = 0.0 meV per atom
N(E_F) = 1.24 states/eV per atom
formation energy = 0.9 kJ/mol of atoms

The structure in CIF format:
```
data_Sr4Ca
_chemical_formula_sum 'Sr8 Ca2'
_symmetry_space_group_name_H-M 'C 1 2/m 1'
_symmetry_Int_Tables_number 12
_cell_length_a 13.8996
_cell_length_b 4.2269
_cell_length_c 10.2401
_cell_angle_alpha 90.00
_cell_angle_beta 120.21
_cell_angle_gamma 90.00
loop_
_symmetry_equiv_pos_as_xyz
'x,y,z'
'-x,-y,-z'
'-x,y,-z'
'x,-y,z'
'x+1/2,y+1/2,z'
'-x+1/2,-y+1/2,-z'
'-x+1/2,y+1/2,-z'
'x+1/2,-y+1/2,z'
loop_
_atom_site_label
_atom_site_type_symbol
_atom_site_fract_x
_atom_site_fract_y
_atom_site_fract_z
Sr1 Sr 0.0962 0.0000 0.3916
Sr2 Sr 0.2060 0.5000 0.8043
Ca1 Ca 0.0000 0.5000 0.0000
```

=====

# 8
VASP calculation (PBE) on a relaxed Sr3Ca11 crystal.

## Properties
M_tot = 0.00 Bohr magnetons per cell
N(E_F) = 1.19 states/eV per atom
formation energy = 9.6 kJ/mol of atoms

The structure in CIF format:
```
data_Sr3Ca11
_chemical_formula_sum 'Sr6 Ca22'
_symmetry_space_group_name_H-M 'I m m m'
_symmetry_Int_Tables_number 71
_symmetry_space_group_name_Hall '-I 2 2'
_cell_length_a 6.1105
_cell_length_b 14.5046
_cell_length_c 14.6395
_cell_angle_alpha 90.00
_cell_angle_beta 90.00
_cell_angle_gamma 90.00
loop_
_atom_site_label
_atom_site_type_symbol
_atom_site_fract_x
_atom_site_fract_y
_atom_site_fract_z
Sr1 Sr 0.0000 0.0000 0.0000
Sr2 Sr 0.0000 0.2816 0.0000
Ca1 Ca 0.0000 0.0000 0.5000
Ca2 Ca 0.0000 0.1419 0.2673
Ca3 Ca 0.0000 0.3721 0.3773
Ca4 Ca 0.0000 0.5000 0.1526
```

=====

# 9
VASP calculation (PBE) on a relaxed Sr2Ca crystal.

## Properties
M_tot = 0.00 Bohr magnetons per cell
distance to the lowest polymorph of the same formula = 22.2 meV per atom
N(E_F) = 1.45 states/eV per atom
formation energy = 3.4 kJ/mol of atoms

The structure in CIF format:
```
data_Sr2Ca
_chemical_formula_sum 'Sr6 Ca3'
_symmetry_space_group_name_H-M 'P -6 2 m'
_symmetry_Int_Tables_number 189
_symmetry_space_group_name_Hall 'P -6 -2'
_cell_length_a 11.3835
_cell_length_b 11.3835
_cell_length_c 4.0921
_cell_angle_alpha 90.00
_cell_angle_beta 90.00
_cell_angle_gamma 120.00
loop_
_atom_site_label
_atom_site_type_symbol
_atom_site_fract_x
_atom_site_fract_y
_atom_site_fract_z
Sr1 Sr 0.0000 0.3046 0.0000
Sr2 Sr 0.0000 0.6401 0.5000
Ca1 Ca 0.0000 0.0000 0.5000
Ca2 Ca 0.3333 0.6667 0.0000
```

=====

# 10
VASP calculation (PBE) on a relaxed Sr3Ca4 crystal.

## Properties
M_tot = 0.00 Bohr magnetons per cell
distance to the lowest polymorph of the same formula = 110.0 meV per atom
N(E_F) = 1.05 states/eV per atom
formation energy = 12.2 kJ/mol of atoms

The structure in CIF format:
```
data_Sr3Ca4
_chemical_formula_sum 'Sr3 Ca4'
_symmetry_space_group_name_H-M 'P 6/m m m'
_symmetry_Int_Tables_number 191
_symmetry_space_group_name_Hall '-P 6 2'
_cell_length_a 7.4392
_cell_length_b 7.4392
_cell_length_c 7.1145
_cell_angle_alpha 90.00
_cell_angle_beta 90.00
_cell_angle_gamma 120.00
loop_
_atom_site_label
_atom_site_type_symbol
_atom_site_fract_x
_atom_site_fract_y
_atom_site_fract_z
Sr1 Sr 0.0000 0.5000 0.0000
Ca1 Ca 0.0000 0.0000 0.2554
Ca2 Ca 0.3333 0.6667 0.5000
```

=====

# 11
VASP calculation (PBE) on a relaxed Sr3Ca crystal.

## Properties
M_tot = 0.00 Bohr magnetons per cell
N(E_F) = 1.18 states/eV per atom
formation energy = 2.0 kJ/mol of atoms

The structure in CIF format:
```
data_Sr3Ca
_chemical_formula_sum 'Sr3 Ca1'
_symmetry_space_group_name_H-M 'P 1 2/m 1'
_symmetry_Int_Tables_number 10
_cell_length_a 4.0299
_cell_length_b 6.5935
_cell_length_c 7.7122
_cell_angle_alpha 90.00
_cell_angle_beta 99.87
_cell_angle_gamma 90.00
loop_
_symmetry_equiv_pos_as_xyz
'x,y,z'
'-x,-y,-z'
'-x,y,-z'
'x,-y,z'
loop_
_atom_site_label
_atom_site_type_symbol
_atom_site_fract_x
_atom_site_fract_y
_atom_site_fract_z
Sr1 Sr 0.0000 0.0000 0.0000
Sr2 Sr 0.2589 0.5000 0.7452
Ca1 Ca 0.5000 0.0000 0.5000
```

=====

# 12
VASP calculation (PBE) on a relaxed Sr7Ca3 crystal.

## Properties
M_tot = 0.00 Bohr magnetons per cell
N(E_F) = 1.18 states/eV per atom
formation energy = 1.0 kJ/mol of atoms

The structure in CIF format:
```
data_Sr7Ca3
_chemical_formula_sum 'Sr14 Ca6'
_symmetry_space_group_name_H-M 'C 1 2/m 1'
_symmetry_Int_Tables_number 12
_cell_length_a 21.2383
_cell_length_b 5.8492
_cell_length_c 8.3190
_cell_angle_alpha 90.00
_cell_angle_beta 101.47
_cell_angle_gamma 90.00
loop_
_symmetry_equiv_pos_as_xyz
'x,y,z'
'-x,-y,-z'
'-x,y,-z'
'x,-y,z'
'x+1/2,y+1/2,z'
'-x+1/2,-y+1/2,-z'
'-x+1/2,y+1/2,-z'
'x+1/2,-y+1/2,z'
loop_
_atom_site_label
_atom_site_type_symbol
_atom_site_fract_x
_atom_site_fract_y
_atom_site_fract_z
Sr1 Sr 0.0000 0.0000 0.0000
Sr2 Sr 0.0997 0.5000 0.2997
Sr3 Sr 0.1020 0.5000 0.8020
Sr4 Sr 0.2005 0.0000 0.6034
Ca1 Ca 0.0000 0.0000 0.5000
Ca2 Ca 0.2020 0.0000 0.0982
```

=====

> Number 1 is which compound?

Sr3Ca